No. 1
GdSbPt: optimized geometry, PBE.

Values from the calculation:
Total magnetization (μB per formula unit): 0.00
Crystal system: hexagonal
VASP energy (eV per atom): -5.52

a b c (Å): 8.1333 8.1333 3.7062
angles (deg): 90.00 90.00 120.00
Closest atoms and distances in Å follow each position.
Fractional positions:
Gd1 0.2873 0.0000 0.0000  4 Sb 2.92-2.98, 4 Pt 3.18
Gd2 0.0000 0.2873 0.0000  4 Sb 2.92-2.98, 4 Pt 3.18
Gd3 0.7127 0.7127 0.0000  4 Sb 2.92-2.98, 4 Pt 3.18
Pt1 0.6592 0.0000 0.5000  1 Sb 2.77
Pt2 0.3408 0.3408 0.5000  1 Sb 2.77
Pt3 0.0000 0.6592 0.5000  1 Sb 2.77
Sb1 0.6667 0.3333 0.0000  3 Gd 2.92, 6 Pt 3.26
Sb2 0.3333 0.6667 0.0000  3 Gd 2.92, 6 Pt 3.26
Sb3 0.0000 0.0000 0.5000  3 Pt 2.77, 6 Gd 2.98

***

No. 2
SmHfAsO: optimized geometry, PBE.

Values from the calculation:
Total magnetization (μB per formula unit): 0.03
Offset from the most stable computed form (meV per atom): 506
Crystal system: tetragonal

a b c (Å): 4.1043 4.1043 8.5645
angles (deg): 90.00 90.00 90.00
Closest atoms and distances in Å follow each position.
Fractional positions:
As1 0.0000 0.5000 0.2514  4 Sm 2.96, 4 O 2.97, 5 Hf 3.02-3.17
As2 0.5000 0.0000 0.7486  4 Sm 2.96, 4 O 2.97, 5 Hf 3.02-3.17
Hf1 0.5000 0.0000 0.1017  4 O 2.23
Hf2 0.0000 0.5000 0.8983  4 O 2.23
O1 0.0000 0.0000 0.0000  4 Hf 2.23
O2 0.5000 0.5000 0.0000  4 Hf 2.23
Sm1 0.0000 0.0000 0.5000  4 Sm 2.90, 4 As 2.96
Sm2 0.5000 0.5000 0.5000  4 Sm 2.90, 4 As 2.96

***

No. 3
RbNbAs: optimized geometry, PBE.

Values from the calculation:
Total magnetization (μB per formula unit): 3.00
Offset from the most stable computed form (meV per atom): 0
Crystal system: cubic

a b c (Å): 5.0159 5.0159 5.0159
angles (deg): 60.00 60.00 60.00
Closest atoms and distances in Å follow each position.
Fractional positions:
As1 0.0000 0.0000 0.0000  4 Rb 3.07, 4 Nb 3.07
Nb1 0.2500 0.2500 0.2500  4 As 3.07
Rb1 0.7500 0.7500 0.7500  4 As 3.07

***

No. 4
PaAlRe: optimized geometry, PBE.

Values from the calculation:
Total magnetization (μB per formula unit): 0.00
Offset from the most stable computed form (meV per atom): 891
Crystal system: cubic

a b c (Å): 4.6047 4.6047 4.6047
angles (deg): 60.00 60.00 60.00
Closest atoms and distances in Å follow each position.
Fractional positions:
Al1 0.5000 0.5000 0.5000  4 Pa 2.82
Pa1 0.2500 0.2500 0.2500  4 Re 2.82, 4 Al 2.82
Re1 0.0000 0.0000 0.0000  4 Pa 2.82

***

No. 5
Gd2YIn3AgPt2: optimized geometry, PBE.

Values from the calculation:
Total magnetization (μB per formula unit): 0.01
Crystal system: orthorhombic
VASP energy (eV per atom): -5.15

a b c (Å): 3.8044 7.8599 7.8599
angles (deg): 120.02 90.00 90.00
Closest atoms and distances in Å follow each position.
Fractional positions:
Ag1 0.0000 0.0002 0.0002  6 In 2.84
Gd1 0.0000 0.5906 0.0000  4 Pt 3.04-3.05, 2 In 3.17, 1 Ag 3.22
Gd2 0.0000 0.0000 0.5906  4 Pt 3.04-3.05, 2 In 3.17, 1 Ag 3.22
In1 0.5000 0.2684 0.0006  2 Ag 2.84, 2 Pt 2.91-2.92, 2 Gd 3.17
In2 0.5000 0.0006 0.2684  2 Ag 2.84, 2 Pt 2.91-2.92, 2 Gd 3.17
In3 0.5000 0.7311 0.7311  2 Ag 2.84, 2 Pt 2.90, 2 Y 3.17
Pt1 0.5000 0.6666 0.3336  3 In 2.90-2.92, 4 Gd 3.04-3.05, 2 Y 3.04
Pt2 0.5000 0.3336 0.6666  3 In 2.90-2.92, 4 Gd 3.04-3.05, 2 Y 3.04
Y1 0.0000 0.4090 0.4090  4 Pt 3.04, 6 In 3.17-3.41, 1 Ag 3.21

***

No. 6
Lu2CuPd: optimized geometry, PBE.

Values from the calculation:
Calculated formation energy (kJ per mole of atoms): -28.4
Total magnetization (μB per formula unit): 0.00
Crystal system: cubic

a b c (Å): 4.7086 4.7086 4.7086
angles (deg): 60.00 60.00 60.00
Closest atoms and distances in Å follow each position.
Fractional positions:
Cu1 0.2500 0.2500 0.2500  4 Lu 2.88, 4 Pd 2.88
Lu1 0.0000 0.0000 0.0000  4 Cu 2.88, 4 Lu 2.88
Lu2 0.7500 0.7500 0.7500  4 Pd 2.88, 4 Lu 2.88
Pd1 0.5000 0.5000 0.5000  4 Lu 2.88, 4 Cu 2.88